(1)
A plane-wave DFT calculation with GGA-PBE was carried out for a relaxed Ca3Sn4Hg4 crystal.

Properties
The crystal system is orthorhombic. The symmetry is Immm, No. 71.

Cell lengths 5.015, 4.401, 14.671 Å; angles 98.63, 99.84, 90.00 degrees
Sites, in units of the cell vectors:
Ca: 0.355 0.855 0.711
Ca: 0.645 0.145 0.289
Ca: 0.000 0.000 0.000
Sn: 0.811 0.311 0.622
Sn: 0.451 0.451 0.902
Sn: 0.549 0.549 0.098
Sn: 0.189 0.689 0.378
Hg: 0.258 0.258 0.517
Hg: 0.092 0.592 0.184
Hg: 0.908 0.408 0.816
Hg: 0.742 0.742 0.483



(2)
A plane-wave DFT calculation with GGA-PBE was carried out for a relaxed Ca2SnHg3 crystal.

Properties
The crystal system is orthorhombic. The symmetry is Pmm2, No. 25.

Cell lengths 3.647, 5.016, 8.645 Å; angles 90.00, 90.00, 90.00 degrees
Sites, in units of the cell vectors:
Ca: 0.000 0.500 0.995
Ca: 0.000 0.000 0.505
Sn: 0.500 0.500 0.335
Hg: 0.500 0.000 0.831
Hg: 0.500 0.000 0.162
Hg: 0.500 0.500 0.671



Computed formation energy from the elements, in the same sequence as the records: -0.30, -0.47 eV/atom.